# 1
# PBE MgHg2Se, relaxed
# Formation energy (no corrections) ... -163 meV/atom
# E_tot ... -0.0582 hartree per atom
# Magnetization ... 0.00 Bohr magnetons per cell
# Crystal system ... tetragonal
data_MgHg2Se
_symmetry_space_group_name_H-M 'I -4 m 2'
_symmetry_Int_Tables_number 119
_symmetry_space_group_name_Hall 'I -4 -2'
_cell_length_a 5.110
_cell_length_b 5.110
_cell_length_c 7.300
_cell_angle_alpha 90.00
_cell_angle_beta 90.00
_cell_angle_gamma 90.00
loop_
_atom_site_label
_atom_site_type_symbol
_atom_site_fract_x
_atom_site_fract_y
_atom_site_fract_z
_atom_site_occupancy
Mg1 Mg 0.000 0.000 0.000 1
Hg1 Hg 0.000 0.000 0.500 1
Hg2 Hg 0.000 0.500 0.250 1
Se1 Se 0.000 0.500 0.750 1



# 2
# PBE MgHg2Se, relaxed
# Formation energy (no corrections) ... -329 meV/atom
# E_tot ... -0.0643 hartree per atom
# Magnetization ... 0.00 Bohr magnetons per cell
# Crystal system ... orthorhombic
data_MgHg2Se
_symmetry_space_group_name_H-M 'C m m m'
_symmetry_Int_Tables_number 65
_symmetry_space_group_name_Hall '-C 2 2'
_cell_length_a 5.639
_cell_length_b 5.675
_cell_length_c 6.457
_cell_angle_alpha 90.00
_cell_angle_beta 90.00
_cell_angle_gamma 90.00
loop_
_atom_site_label
_atom_site_type_symbol
_atom_site_fract_x
_atom_site_fract_y
_atom_site_fract_z
_atom_site_occupancy
Mg1 Mg 0.000 0.000 0.000 1
Hg1 Hg 0.000 0.251 0.500 1
Se1 Se 0.000 0.500 0.000 1



# 3
# PBE MgHgSe2, relaxed
# Formation energy (no corrections) ... -719 meV/atom
# E_tot ... -0.1079 hartree per atom
# Magnetization ... 0.00 Bohr magnetons per cell
# Relative energy among the computed polymorphs ... 4 meV/atom
# Crystal system ... monoclinic
data_MgHgSe2
_symmetry_space_group_name_H-M 'C 1 m 1'
_symmetry_Int_Tables_number 8
_cell_length_a 7.532
_cell_length_b 4.348
_cell_length_c 7.039
_cell_angle_alpha 90.00
_cell_angle_beta 90.02
_cell_angle_gamma 90.00
loop_
_symmetry_equiv_pos_as_xyz
'x,y,z'
'x,-y,z'
'x+1/2,y+1/2,z'
'x+1/2,-y+1/2,z'
loop_
_atom_site_label
_atom_site_type_symbol
_atom_site_fract_x
_atom_site_fract_y
_atom_site_fract_z
_atom_site_occupancy
Mg1 Mg 0.000 0.000 0.000 1
Hg1 Hg 0.169 0.500 0.490 1
Se1 Se 0.002 0.000 0.629 1
Se2 Se 0.167 0.500 0.105 1



# 4
# PBE MgHgSe2, relaxed
# Formation energy (no corrections) ... -190 meV/atom
# E_tot ... -0.0884 hartree per atom
# Magnetization ... 0.00 Bohr magnetons per cell
# Relative energy among the computed polymorphs ... 532 meV/atom
# Crystal system ... orthorhombic
data_MgHgSe2
_symmetry_space_group_name_H-M 'C m m m'
_symmetry_Int_Tables_number 65
_symmetry_space_group_name_Hall '-C 2 2'
_cell_length_a 6.326
_cell_length_b 7.408
_cell_length_c 3.738
_cell_angle_alpha 90.00
_cell_angle_beta 90.00
_cell_angle_gamma 90.00
loop_
_atom_site_label
_atom_site_type_symbol
_atom_site_fract_x
_atom_site_fract_y
_atom_site_fract_z
_atom_site_occupancy
Mg1 Mg 0.000 0.000 0.000 1
Hg1 Hg 0.000 0.500 0.000 1
Se1 Se 0.250 0.250 0.500 1



# 5
# PBE MgHgSe2, relaxed
# Formation energy (no corrections) ... -183 meV/atom
# E_tot ... -0.0882 hartree per atom
# Magnetization ... 0.00 Bohr magnetons per cell
# Relative energy among the computed polymorphs ... 539 meV/atom
# Crystal system ... tetragonal
data_MgHgSe2
_symmetry_space_group_name_H-M 'I 4/m m m'
_symmetry_Int_Tables_number 139
_symmetry_space_group_name_Hall '-I 4 2'
_cell_length_a 5.425
_cell_length_b 5.425
_cell_length_c 6.056
_cell_angle_alpha 90.00
_cell_angle_beta 90.00
_cell_angle_gamma 90.00
loop_
_atom_site_label
_atom_site_type_symbol
_atom_site_fract_x
_atom_site_fract_y
_atom_site_fract_z
_atom_site_occupancy
Mg1 Mg 0.000 0.000 0.000 1
Hg1 Hg 0.000 0.000 0.500 1
Se1 Se 0.000 0.500 0.250 1



# 6
# PBE MgHg2Se, relaxed
# Formation energy (no corrections) ... -213 meV/atom
# E_tot ... -0.0601 hartree per atom
# Magnetization ... 0.00 Bohr magnetons per cell
# Crystal system ... tetragonal
data_MgHg2Se
_symmetry_space_group_name_H-M 'I -4 2 d'
_symmetry_Int_Tables_number 122
_symmetry_space_group_name_Hall 'I -4 2bw'
_cell_length_a 8.473
_cell_length_b 8.473
_cell_length_c 5.531
_cell_angle_alpha 90.00
_cell_angle_beta 90.00
_cell_angle_gamma 90.00
loop_
_atom_site_label
_atom_site_type_symbol
_atom_site_fract_x
_atom_site_fract_y
_atom_site_fract_z
_atom_site_occupancy
Mg1 Mg 0.000 0.000 0.000 1
Hg1 Hg 0.239 0.750 0.625 1
Se1 Se 0.000 0.000 0.500 1



# 7
# PBE MgHg2Se, relaxed
# Formation energy (no corrections) ... -265 meV/atom
# E_tot ... -0.0619 hartree per atom
# Magnetization ... 0.00 Bohr magnetons per cell
# Crystal system ... orthorhombic
data_MgHg2Se
_symmetry_space_group_name_H-M 'I m m 2'
_symmetry_Int_Tables_number 44
_cell_length_a 3.871
_cell_length_b 6.137
_cell_length_c 8.910
_cell_angle_alpha 90.00
_cell_angle_beta 90.00
_cell_angle_gamma 90.00
loop_
_symmetry_equiv_pos_as_xyz
'x,y,z'
'-x,-y,z'
'-x,y,z'
'x,-y,z'
'x+1/2,y+1/2,z+1/2'
'-x+1/2,-y+1/2,z+1/2'
'-x+1/2,y+1/2,z+1/2'
'x+1/2,-y+1/2,z+1/2'
loop_
_atom_site_label
_atom_site_type_symbol
_atom_site_fract_x
_atom_site_fract_y
_atom_site_fract_z
_atom_site_occupancy
Mg1 Mg 0.000 0.000 0.000 1
Hg1 Hg 0.000 0.000 0.467 1
Hg2 Hg 0.000 0.500 0.243 1
Se1 Se 0.000 0.500 0.684 1



# 8
# PBE Mg2HgSe2, relaxed
# Formation energy (no corrections) ... -723 meV/atom
# E_tot ... -0.1034 hartree per atom
# Magnetization ... 0.00 Bohr magnetons per cell
# Relative energy among the computed polymorphs ... 154 meV/atom
# Crystal system ... tetragonal
data_Mg2HgSe2
_symmetry_space_group_name_H-M 'I 4/m m m'
_symmetry_Int_Tables_number 139
_symmetry_space_group_name_Hall '-I 4 2'
_cell_length_a 5.235
_cell_length_b 5.235
_cell_length_c 12.884
_cell_angle_alpha 90.00
_cell_angle_beta 90.00
_cell_angle_gamma 90.00
loop_
_atom_site_label
_atom_site_type_symbol
_atom_site_fract_x
_atom_site_fract_y
_atom_site_fract_z
_atom_site_occupancy
Mg1 Mg 0.000 0.000 0.235 1
Hg1 Hg 0.000 0.000 0.000 1
Se1 Se 0.000 0.500 0.250 1



# 9
# PBE MgHgSe2, relaxed
# Formation energy (no corrections) ... -672 meV/atom
# E_tot ... -0.1062 hartree per atom
# Magnetization ... 0.00 Bohr magnetons per cell
# Relative energy among the computed polymorphs ... 50 meV/atom
# Crystal system ... triclinic
data_MgHgSe2
_symmetry_space_group_name_H-M 'P 1'
_symmetry_Int_Tables_number 1
_cell_length_a 4.086
_cell_length_b 6.978
_cell_length_c 7.178
_cell_angle_alpha 90.15
_cell_angle_beta 90.94
_cell_angle_gamma 90.03
loop_
_symmetry_equiv_pos_as_xyz
'x,y,z'
loop_
_atom_site_label
_atom_site_type_symbol
_atom_site_fract_x
_atom_site_fract_y
_atom_site_fract_z
_atom_site_occupancy
Mg1 Mg 0.000 0.000 0.000 1
Mg2 Mg 0.000 0.500 0.001 1
Hg1 Hg 0.417 0.250 0.478 1
Hg2 Hg 0.590 0.751 0.523 1
Se1 Se 0.057 0.751 0.287 1
Se2 Se 0.501 0.750 0.875 1
Se3 Se 0.502 0.251 0.126 1
Se4 Se 0.948 0.250 0.714 1



# 10
# PBE MgHgSe2, relaxed
# Formation energy (no corrections) ... -531 meV/atom
# E_tot ... -0.1010 hartree per atom
# Magnetization ... 0.00 Bohr magnetons per cell
# Relative energy among the computed polymorphs ... 191 meV/atom
# Crystal system ... orthorhombic
data_MgHgSe2
_symmetry_space_group_name_H-M 'A m m 2'
_symmetry_Int_Tables_number 38
_cell_length_a 3.882
_cell_length_b 3.684
_cell_length_c 13.546
_cell_angle_alpha 90.00
_cell_angle_beta 90.00
_cell_angle_gamma 90.00
loop_
_symmetry_equiv_pos_as_xyz
'x,y,z'
'-x,-y,z'
'-x,y,z'
'x,-y,z'
'x,y+1/2,z+1/2'
'-x,-y+1/2,z+1/2'
'-x,y+1/2,z+1/2'
'x,-y+1/2,z+1/2'
loop_
_atom_site_label
_atom_site_type_symbol
_atom_site_fract_x
_atom_site_fract_y
_atom_site_fract_z
_atom_site_occupancy
Mg1 Mg 0.000 0.000 0.000 1
Hg1 Hg 0.500 0.000 0.242 1
Se1 Se 0.000 0.000 0.660 1
Se2 Se 0.500 0.000 0.437 1



# 11
# PBE MgHgSe2, relaxed
# Formation energy (no corrections) ... -331 meV/atom
# E_tot ... -0.0936 hartree per atom
# Magnetization ... 0.00 Bohr magnetons per cell
# Relative energy among the computed polymorphs ... 391 meV/atom
# Crystal system ... tetragonal
data_MgHgSe2
_symmetry_space_group_name_H-M 'P 4/m m m'
_symmetry_Int_Tables_number 123
_symmetry_space_group_name_Hall '-P 4 2'
_cell_length_a 3.647
_cell_length_b 3.647
_cell_length_c 7.538
_cell_angle_alpha 90.00
_cell_angle_beta 90.00
_cell_angle_gamma 90.00
loop_
_atom_site_label
_atom_site_type_symbol
_atom_site_fract_x
_atom_site_fract_y
_atom_site_fract_z
_atom_site_occupancy
Mg1 Mg 0.000 0.000 0.000 1
Hg1 Hg 0.000 0.000 0.500 1
Se1 Se 0.500 0.500 0.169 1



# 12
# PBE MgHgSe2, relaxed
# Formation energy (no corrections) ... -139 meV/atom
# E_tot ... -0.0866 hartree per atom
# Magnetization ... 0.00 Bohr magnetons per cell
# Relative energy among the computed polymorphs ... 583 meV/atom
# Crystal system ... cubic
data_MgHgSe2
_symmetry_space_group_name_H-M 'F m -3 m'
_symmetry_Int_Tables_number 225
_symmetry_space_group_name_Hall '-F 4 2 3'
_cell_length_a 7.070
_cell_length_b 7.070
_cell_length_c 7.070
_cell_angle_alpha 90.00
_cell_angle_beta 90.00
_cell_angle_gamma 90.00
loop_
_atom_site_label
_atom_site_type_symbol
_atom_site_fract_x
_atom_site_fract_y
_atom_site_fract_z
_atom_site_occupancy
Mg1 Mg 0.000 0.000 0.000 1
Hg1 Hg 0.000 0.000 0.500 1
Se1 Se 0.250 0.250 0.250 1



# 13
# PBE MgHgSe2, relaxed
# Formation energy (no corrections) ... -235 meV/atom
# E_tot ... -0.0901 hartree per atom
# Magnetization ... 0.00 Bohr magnetons per cell
# Relative energy among the computed polymorphs ... 487 meV/atom
# Crystal system ... orthorhombic
data_MgHgSe2
_symmetry_space_group_name_H-M 'I m m m'
_symmetry_Int_Tables_number 71
_symmetry_space_group_name_Hall '-I 2 2'
_cell_length_a 4.076
_cell_length_b 4.371
_cell_length_c 11.653
_cell_angle_alpha 90.00
_cell_angle_beta 90.00
_cell_angle_gamma 90.00
loop_
_atom_site_label
_atom_site_type_symbol
_atom_site_fract_x
_atom_site_fract_y
_atom_site_fract_z
_atom_site_occupancy
Mg1 Mg 0.000 0.000 0.000 1
Hg1 Hg 0.000 0.000 0.500 1
Se1 Se 0.000 0.500 0.344 1



# 14
# PBE MgHgSe2, relaxed
# Formation energy (no corrections) ... -267 meV/atom
# E_tot ... -0.0913 hartree per atom
# Magnetization ... 0.00 Bohr magnetons per cell
# Relative energy among the computed polymorphs ... 455 meV/atom
# Crystal system ... orthorhombic
data_MgHgSe2
_symmetry_space_group_name_H-M 'C m c m'
_symmetry_Int_Tables_number 63
_symmetry_space_group_name_Hall '-C 2c 2'
_cell_length_a 3.686
_cell_length_b 23.226
_cell_length_c 4.873
_cell_angle_alpha 90.00
_cell_angle_beta 90.00
_cell_angle_gamma 90.00
loop_
_atom_site_label
_atom_site_type_symbol
_atom_site_fract_x
_atom_site_fract_y
_atom_site_fract_z
_atom_site_occupancy
Mg1 Mg 0.000 0.067 0.250 1
Hg1 Hg 0.000 0.314 0.250 1
Se1 Se 0.000 0.051 0.750 1
Se2 Se 0.000 0.182 0.250 1



# 15
# PBE MgHg2Se, relaxed
# Formation energy (no corrections) ... -163 meV/atom
# E_tot ... -0.0582 hartree per atom
# Magnetization ... 0.00 Bohr magnetons per cell
# Crystal system ... trigonal
data_MgHg2Se
_symmetry_space_group_name_H-M 'R -3 m'
_symmetry_Int_Tables_number 166
_symmetry_space_group_name_Hall '-R 3 2"'
_cell_length_a 4.0047
_cell_length_b 4.0047
_cell_length_c 21.3566
_cell_angle_alpha 90.00
_cell_angle_beta 90.00
_cell_angle_gamma 120.00
loop_
_atom_site_label
_atom_site_type_symbol
_atom_site_fract_x
_atom_site_fract_y
_atom_site_fract_z
_atom_site_occupancy
Mg1 Mg 0.0000 0.0000 0.0000 1
Hg1 Hg 0.0000 0.0000 0.2484 1
Se1 Se 0.0000 0.0000 0.5000 1



# 16
# PBE MgHgSe2, relaxed
# Formation energy (no corrections) ... -606 meV/atom
# E_tot ... -0.1037 hartree per atom
# Magnetization ... 0.00 Bohr magnetons per cell
# Relative energy among the computed polymorphs ... 117 meV/atom
# Crystal system ... trigonal
data_MgHgSe2
_symmetry_space_group_name_H-M 'P 3 m 1'
_symmetry_Int_Tables_number 156
_cell_length_a 4.3353
_cell_length_b 4.3353
_cell_length_c 6.7470
_cell_angle_alpha 90.00
_cell_angle_beta 90.00
_cell_angle_gamma 120.00
loop_
_symmetry_equiv_pos_as_xyz
'x,y,z'
'-y,x-y,z'
'-x+y,-x,z'
'-y,-x,z'
'-x+y,y,z'
'x,x-y,z'
loop_
_atom_site_label
_atom_site_type_symbol
_atom_site_fract_x
_atom_site_fract_y
_atom_site_fract_z
_atom_site_occupancy
Mg1 Mg 0.0000 0.0000 0.0000 1
Hg1 Hg 0.6667 0.3333 0.5219 1
Se1 Se 0.0000 0.0000 0.3968 1
Se2 Se 0.3333 0.6667 0.8912 1



# 17
# PBE Mg2HgSe2, relaxed
# Formation energy (no corrections) ... -876 meV/atom
# E_tot ... -0.1091 hartree per atom
# Magnetization ... 0.00 Bohr magnetons per cell
# Relative energy among the computed polymorphs ... 0 meV/atom
# Crystal system ... tetragonal
data_Mg2HgSe2
_symmetry_space_group_name_H-M 'I 4/m m m'
_symmetry_Int_Tables_number 139
_symmetry_space_group_name_Hall '-I 4 2'
_cell_length_a 4.587
_cell_length_b 4.587
_cell_length_c 14.303
_cell_angle_alpha 90.00
_cell_angle_beta 90.00
_cell_angle_gamma 90.00
loop_
_atom_site_label
_atom_site_type_symbol
_atom_site_fract_x
_atom_site_fract_y
_atom_site_fract_z
_atom_site_occupancy
Mg1 Mg 0.000 0.500 0.250 1
Hg1 Hg 0.000 0.000 0.000 1
Se1 Se 0.000 0.000 0.339 1



# 18
# PBE MgHg2Se, relaxed
# Formation energy (no corrections) ... -457 meV/atom
# E_tot ... -0.0690 hartree per atom
# Magnetization ... 0.00 Bohr magnetons per cell
# Crystal system ... monoclinic
data_MgHg2Se
_symmetry_space_group_name_H-M 'P 1 m 1'
_symmetry_Int_Tables_number 6
_cell_length_a 3.710
_cell_length_b 3.701
_cell_length_c 8.769
_cell_angle_alpha 90.00
_cell_angle_beta 101.74
_cell_angle_gamma 90.00
loop_
_symmetry_equiv_pos_as_xyz
'x,y,z'
'x,-y,z'
loop_
_atom_site_label
_atom_site_type_symbol
_atom_site_fract_x
_atom_site_fract_y
_atom_site_fract_z
_atom_site_occupancy
Mg1 Mg 0.000 0.000 0.000 1
Hg1 Hg 0.220 0.500 0.401 1
Hg2 Hg 0.842 0.000 0.657 1
Se1 Se 0.517 0.500 0.035 1



# 19
# PBE MgHgSe2, relaxed
# Formation energy (no corrections) ... -634 meV/atom
# E_tot ... -0.1048 hartree per atom
# Magnetization ... 0.00 Bohr magnetons per cell
# Relative energy among the computed polymorphs ... 88 meV/atom
# Crystal system ... trigonal
data_MgHgSe2
_symmetry_space_group_name_H-M 'R -3 m'
_symmetry_Int_Tables_number 166
_symmetry_space_group_name_Hall '-R 3 2"'
_cell_length_a 4.2347
_cell_length_b 4.2347
_cell_length_c 22.6795
_cell_angle_alpha 90.00
_cell_angle_beta 90.00
_cell_angle_gamma 120.00
loop_
_atom_site_label
_atom_site_type_symbol
_atom_site_fract_x
_atom_site_fract_y
_atom_site_fract_z
_atom_site_occupancy
Mg1 Mg 0.0000 0.0000 0.0000 1
Hg1 Hg 0.0000 0.0000 0.5000 1
Se1 Se 0.0000 0.0000 0.3905 1



# 20
# PBE MgHg3Se, relaxed
# Formation energy (no corrections) ... 286 meV/atom
# E_tot ... -0.0335 hartree per atom
# Magnetization ... 0.00 Bohr magnetons per cell
# Relative energy among the computed polymorphs ... 25 meV/atom
# Crystal system ... cubic
data_MgHg3Se
_symmetry_space_group_name_H-M 'P m -3 m'
_symmetry_Int_Tables_number 221
_symmetry_space_group_name_Hall '-P 4 2 3'
_cell_length_a 5.569
_cell_length_b 5.569
_cell_length_c 5.569
_cell_angle_alpha 90.00
_cell_angle_beta 90.00
_cell_angle_gamma 90.00
loop_
_atom_site_label
_atom_site_type_symbol
_atom_site_fract_x
_atom_site_fract_y
_atom_site_fract_z
_atom_site_occupancy
Mg1 Mg 0.000 0.000 0.000 1
Hg1 Hg 0.000 0.500 0.500 1
Se1 Se 0.500 0.500 0.500 1